--- w ---
Below is a geometry-optimized HgPd2Pb2 structure, with properties calculated at the GGA-PBE level.

Structure (extended XYZ):
```
5
Lattice="-2.360 2.360 5.699 2.360 -2.360 5.699 2.360 2.360 -5.699" Properties=species:S:1:pos:R:3 pbc="T T T"
Hg 0.000 0.000 0.000
Pd 0.000 0.000 4.390
Pd 0.000 0.000 7.008
Pb 2.360 0.000 2.849
Pb 0.000 2.360 2.849
```

--- x ---
Below is a geometry-optimized HgPd2Pb2 structure, with properties calculated at the GGA-PBE level.

Structure (extended XYZ):
```
5
Lattice="-2.110 3.144 4.240 2.110 -3.144 4.240 2.110 3.144 -4.240" Properties=species:S:1:pos:R:3 pbc="T T T"
Hg 0.000 0.000 0.000
Pd 2.110 1.759 0.000
Pd 0.000 1.385 4.240
Pb 2.110 0.000 2.551
Pb 0.000 3.144 1.689
```

--- y ---
Below is a geometry-optimized HgPd2Pb2 structure, with properties calculated at the GGA-PBE level.

Structure (extended XYZ):
```
10
Lattice="8.332 0.000 0.000 0.000 8.332 0.000 0.000 0.000 3.282" Properties=species:S:1:pos:R:3 pbc="T T T"
Hg 0.000 0.000 0.000
Hg 4.166 4.166 0.000
Pd 1.060 3.106 1.641
Pd 3.106 7.272 1.641
Pd 5.226 1.060 1.641
Pd 7.272 5.226 1.641
Pb 1.362 5.528 0.000
Pb 2.804 1.362 0.000
Pb 5.528 6.970 0.000
Pb 6.970 2.804 0.000
```

Stability summary - winner: x; margin: 0.095 eV/atom.

--- w ---
Below is a geometry-optimized HgPd6Pb structure, with properties calculated at the GGA-PBE level.

Structure (extended XYZ):
```
8
Lattice="4.099 0.000 0.000 0.000 4.099 0.000 0.000 0.000 8.090" Properties=species:S:1:pos:R:3 pbc="T T T"
Hg 0.000 0.000 0.000
Pd 0.000 2.050 2.011
Pd 0.000 2.050 6.079
Pd 2.050 0.000 2.011
Pd 2.050 0.000 6.079
Pd 2.050 2.050 0.000
Pd 2.050 2.050 4.045
Pb 0.000 0.000 4.045
```

--- x ---
Below is a geometry-optimized HgPd6Pb structure, with properties calculated at the GGA-PBE level.

Structure (extended XYZ):
```
8
Lattice="4.057 -4.064 0.000 4.057 4.064 0.000 0.000 0.000 4.120" Properties=species:S:1:pos:R:3 pbc="T T T"
Hg 0.000 0.000 0.000
Pd 2.029 2.032 0.000
Pd 2.024 0.000 2.060
Pd 4.057 2.039 2.060
Pd 2.029 -2.032 0.000
Pd 4.057 -2.039 2.060
Pd 6.091 0.000 2.060
Pb 4.057 0.000 0.000
```

Stability summary - winner: x; margin: 0.008 eV/atom.

--- w ---
Below is a geometry-optimized HgPd3Pb2 structure, with properties calculated at the GGA-PBE level.

Structure (extended XYZ):
```
12
Lattice="7.456 -2.916 0.000 7.456 2.916 0.000 -0.843 0.000 5.573" Properties=species:S:1:pos:R:3 pbc="T T T"
Hg 6.824 2.565 4.180
Hg 7.245 -2.565 1.393
Pd 1.930 0.875 3.279
Pd 2.352 -0.875 0.493
Pd 7.245 0.400 1.393
Pd 6.824 -0.400 4.180
Pd 11.717 0.875 5.080
Pd 12.139 -0.875 2.294
Pb 4.310 0.885 4.989
Pb 4.731 -0.885 2.203
Pb 9.338 0.885 3.370
Pb 9.759 -0.885 0.584
```

--- x ---
Below is a geometry-optimized HgPd3Pb2 structure, with properties calculated at the GGA-PBE level.

Structure (extended XYZ):
```
24
Lattice="7.452 0.000 0.000 0.000 12.869 0.000 -1.894 0.000 5.289" Properties=species:S:1:pos:R:3 pbc="T T T"
Hg -0.515 2.140 1.759
Hg -1.463 4.294 4.403
Hg 7.020 8.574 0.886
Hg 6.073 10.729 3.530
Pd 1.215 9.578 3.043
Pd 2.162 9.725 0.398
Pd 1.860 7.065 1.654
Pd 0.913 12.238 4.299
Pd 2.135 1.421 2.671
Pd 3.082 5.013 0.026
Pd 2.476 7.856 5.263
Pd 3.423 11.447 2.618
Pd 4.645 0.631 0.990
Pd 3.698 5.803 3.634
Pd 3.396 3.144 4.891
Pd 4.343 3.291 2.246
Pb -0.063 7.233 4.038
Pb 0.885 12.070 1.394
Pb 0.695 2.087 5.126
Pb 1.642 4.347 2.482
Pb 3.916 8.521 2.807
Pb 4.863 10.782 0.163
Pb 4.673 0.798 3.895
Pb 5.620 5.636 1.251
```

Stability summary - winner: x; margin: 0.052 eV/atom.